# GGA-PBE KSnB, relaxed
data_KSnB
_cell_length_a 10.7630
_cell_length_b 5.5542
_cell_length_c 7.8125
_cell_angle_alpha 90.00
_cell_angle_beta 128.97
_cell_angle_gamma 90.00
_space_group_name_H-M_alt 'C 1 m 1'
_space_group_IT_number 8
loop_
_space_group_symop_operation_xyz
'x,y,z'
'x,-y,z'
'x+1/2,y+1/2,z'
'x+1/2,-y+1/2,z'
loop_
_atom_site_label
_atom_site_fract_x
_atom_site_fract_y
_atom_site_fract_z
K1 0.0000 0.0000 0.0000
K2 0.0290 0.5000 0.6409
Sn1 0.1695 0.0000 0.5511
Sn2 0.3018 0.5000 0.2768
B1 0.2270 0.3584 0.4878
# N(E_F): 0.48 states/eV/atom
# M_tot: 0.0 Bohr magnetons per cell
# ΔE_f: 0.29 eV per atom

***

# GGA-PBE SmPu2N3, relaxed
data_SmPu2N3
_cell_length_a 3.5076
_cell_length_b 4.9876
_cell_length_c 10.5190
_cell_angle_alpha 90.00
_cell_angle_beta 90.00
_cell_angle_gamma 90.00
_space_group_name_H-M_alt 'I m m m'
_space_group_IT_number 71
_space_group_name_Hall '-I 2 2'
loop_
_atom_site_label
_atom_site_fract_x
_atom_site_fract_y
_atom_site_fract_z
Sm1 0.0000 0.0000 0.0000
Pu1 0.0000 0.0000 0.3344
N1 0.0000 0.5000 0.0000
N2 0.0000 0.5000 0.3215
# N(E_F): 1.77 states/eV/atom
# M_tot: 19.0 Bohr magnetons per cell
# formation energy (no corrections): -1.3370 eV per atom
# relative energy among the computed polymorphs: 0.000 eV/atom

***

# GGA-PBE Tm3CdAg, relaxed
data_Tm3CdAg
_cell_length_a 3.5745
_cell_length_b 9.7085
_cell_length_c 16.4754
_cell_angle_alpha 90.00
_cell_angle_beta 90.00
_cell_angle_gamma 90.00
_space_group_name_H-M_alt 'A m m 2'
_space_group_IT_number 38
loop_
_space_group_symop_operation_xyz
'x,y,z'
'-x,-y,z'
'-x,y,z'
'x,-y,z'
'x,y+1/2,z+1/2'
'-x,-y+1/2,z+1/2'
'-x,y+1/2,z+1/2'
'x,-y+1/2,z+1/2'
loop_
_atom_site_label
_atom_site_fract_x
_atom_site_fract_y
_atom_site_fract_z
Tm1 0.0000 0.0000 0.0000
Tm2 0.0000 0.0000 0.3139
Tm3 0.5000 0.1980 0.5488
Tm4 0.5000 0.1984 0.7637
Cd1 0.0000 0.0000 0.6563
Cd2 0.5000 0.0000 0.1568
Ag1 0.0000 0.2493 0.9063
# N(E_F): 0.66 states/eV/atom
# M_tot: 0.0 Bohr magnetons per cell
# ΔE_f: -0.01 eV per atom
# relative energy among the computed polymorphs: 0.218 eV/atom

***

# GGA-PBE TiSn2Au, relaxed
data_TiSn2Au
_cell_length_a 7.6480
_cell_length_b 7.6480
_cell_length_c 6.1436
_cell_angle_alpha 90.00
_cell_angle_beta 90.00
_cell_angle_gamma 90.00
_space_group_name_H-M_alt 'I -4 2 d'
_space_group_IT_number 122
_space_group_name_Hall 'I -4 2bw'
loop_
_atom_site_label
_atom_site_fract_x
_atom_site_fract_y
_atom_site_fract_z
Ti1 0.0000 0.0000 0.0000
Sn1 0.2352 0.2500 0.6250
Au1 0.0000 0.0000 0.5000
# N(E_F): 1.08 states/eV/atom
# M_tot: 0.0 Bohr magnetons per cell
# ΔE_f: 0.08 eV per atom
# relative energy among the computed polymorphs: 0.234 eV/atom

***

# GGA-PBE CsLi2CuCl4, relaxed
data_CsLi2CuCl4
_cell_length_a 6.5065
_cell_length_b 6.5065
_cell_length_c 9.8038
_cell_angle_alpha 90.00
_cell_angle_beta 90.00
_cell_angle_gamma 90.00
_space_group_name_H-M_alt 'I -4 2 m'
_space_group_IT_number 121
_space_group_name_Hall 'I -4 2'
loop_
_atom_site_label
_atom_site_fract_x
_atom_site_fract_y
_atom_site_fract_z
Cs1 0.0000 0.0000 0.0000
Li1 0.0000 0.5000 0.2500
Cu1 0.0000 0.0000 0.5000
Cl1 0.1897 0.1897 0.3366
# N(E_F): 0.00 states/eV/atom
# M_tot: 0.3 Bohr magnetons per cell
# formation energy (no corrections): -1.4319 eV per atom

***

# GGA-PBE CaDyCdNi, relaxed
data_CaDyCdNi
_cell_length_a 7.1837
_cell_length_b 7.1837
_cell_length_c 7.1837
_cell_angle_alpha 90.00
_cell_angle_beta 90.00
_cell_angle_gamma 90.00
_space_group_name_H-M_alt 'F -4 3 m'
_space_group_IT_number 216
_space_group_name_Hall 'F -4 2 3'
loop_
_atom_site_label
_atom_site_fract_x
_atom_site_fract_y
_atom_site_fract_z
Ca1 0.0000 0.0000 0.0000
Dy1 0.0000 0.0000 0.5000
Cd1 0.2500 0.2500 0.7500
Ni1 0.2500 0.2500 0.2500
# N(E_F): 0.97 states/eV/atom
# M_tot: 0.0 Bohr magnetons per cell
# ΔE_f: -0.17 eV per atom

***

# GGA-PBE CaFeB2, relaxed
data_CaFeB2
_cell_length_a 5.6999
_cell_length_b 5.6999
_cell_length_c 5.6999
_cell_angle_alpha 90.00
_cell_angle_beta 90.00
_cell_angle_gamma 90.00
_space_group_name_H-M_alt 'F m -3 m'
_space_group_IT_number 225
_space_group_name_Hall '-F 4 2 3'
loop_
_atom_site_label
_atom_site_fract_x
_atom_site_fract_y
_atom_site_fract_z
Ca1 0.0000 0.0000 0.0000
Fe1 0.0000 0.0000 0.5000
B1 0.2500 0.2500 0.2500
# N(E_F): 1.25 states/eV/atom
# M_tot: 6.1 Bohr magnetons per cell
# ΔE_f: 0.87 eV per atom
# relative energy among the computed polymorphs: 0.792 eV/atom

***

# GGA-PBE Hf2PPdCl, relaxed
data_Hf2PPdCl
_cell_length_a 4.6846
_cell_length_b 4.6846
_cell_length_c 4.4708
_cell_angle_alpha 90.00
_cell_angle_beta 90.00
_cell_angle_gamma 90.00
_space_group_name_H-M_alt 'P 4/m m m'
_space_group_IT_number 123
_space_group_name_Hall '-P 4 2'
loop_
_atom_site_label
_atom_site_fract_x
_atom_site_fract_y
_atom_site_fract_z
Hf1 0.0000 0.5000 0.0000
P1 0.0000 0.0000 0.5000
Pd1 0.5000 0.5000 0.5000
Cl1 0.0000 0.0000 0.0000
# N(E_F): 0.71 states/eV/atom
# M_tot: 0.0 Bohr magnetons per cell
# formation energy (no corrections): 0.5310 eV per atom

***

- Number 1 is which compound?
  KSnB

***

What did the third record say?
# GGA-PBE Tm3CdAg, relaxed
data_Tm3CdAg
_cell_length_a 3.5745
_cell_length_b 9.7085
_cell_length_c 16.4754
_cell_angle_alpha 90.00
_cell_angle_beta 90.00
_cell_angle_gamma 90.00
_space_group_name_H-M_alt 'A m m 2'
_space_group_IT_number 38
loop_
_space_group_symop_operation_xyz
'x,y,z'
'-x,-y,z'
'-x,y,z'
'x,-y,z'
'x,y+1/2,z+1/2'
'-x,-y+1/2,z+1/2'
'-x,y+1/2,z+1/2'
'x,-y+1/2,z+1/2'
loop_
_atom_site_label
_atom_site_fract_x
_atom_site_fract_y
_atom_site_fract_z
Tm1 0.0000 0.0000 0.0000
Tm2 0.0000 0.0000 0.3139
Tm3 0.5000 0.1980 0.5488
Tm4 0.5000 0.1984 0.7637
Cd1 0.0000 0.0000 0.6563
Cd2 0.5000 0.0000 0.1568
Ag1 0.0000 0.2493 0.9063
# N(E_F): 0.66 states/eV/atom
# M_tot: 0.0 Bohr magnetons per cell
# ΔE_f: -0.01 eV per atom
# relative energy among the computed polymorphs: 0.218 eV/atom

***

What did the eighth record say?
# GGA-PBE Hf2PPdCl, relaxed
data_Hf2PPdCl
_cell_length_a 4.6846
_cell_length_b 4.6846
_cell_length_c 4.4708
_cell_angle_alpha 90.00
_cell_angle_beta 90.00
_cell_angle_gamma 90.00
_space_group_name_H-M_alt 'P 4/m m m'
_space_group_IT_number 123
_space_group_name_Hall '-P 4 2'
loop_
_atom_site_label
_atom_site_fract_x
_atom_site_fract_y
_atom_site_fract_z
Hf1 0.0000 0.5000 0.0000
P1 0.0000 0.0000 0.5000
Pd1 0.5000 0.5000 0.5000
Cl1 0.0000 0.0000 0.0000
# N(E_F): 0.71 states/eV/atom
# M_tot: 0.0 Bohr magnetons per cell
# formation energy (no corrections): 0.5310 eV per atom

***

- M_tot of number 6 (CaDyCdNi)?
  0.0 Bohr magnetons per cell